(1)
# PBE-GGA TmLuMnAu, optimized geometry
# Energy of formation   -0.290 eV/atom
data_TmLuMnAu
_space_group_name_H-M_alt 'F -4 3 m'
_space_group_IT_number 216
_space_group_name_Hall 'F -4 2 3'
_cell_length_a 7.034
_cell_length_b 7.034
_cell_length_c 7.034
_cell_angle_alpha 90.00
_cell_angle_beta 90.00
_cell_angle_gamma 90.00
loop_
_atom_site_label
_atom_site_fract_x
_atom_site_fract_y
_atom_site_fract_z
Tm1 0.000 0.000 0.000
Lu1 0.000 0.000 0.500
Mn1 0.250 0.250 0.750
Au1 0.250 0.250 0.250

***

(2)
# PBE-GGA Ga4Cu15Sn, optimized geometry
# Energy of formation   -0.059 eV/atom
data_Ga4Cu15Sn
_space_group_name_H-M_alt 'P 4/m m m'
_space_group_IT_number 123
_space_group_name_Hall '-P 4 2'
_cell_length_a 3.757
_cell_length_b 3.757
_cell_length_c 18.490
_cell_angle_alpha 90.00
_cell_angle_beta 90.00
_cell_angle_gamma 90.00
loop_
_atom_site_label
_atom_site_fract_x
_atom_site_fract_y
_atom_site_fract_z
Ga1 0.000 0.000 0.098
Ga2 0.000 0.000 0.294
Cu1 0.000 0.500 0.000
Cu2 0.000 0.500 0.196
Cu3 0.000 0.500 0.392
Cu4 0.500 0.500 0.098
Cu5 0.500 0.500 0.294
Cu6 0.500 0.500 0.500
Sn1 0.000 0.000 0.500

***

(3)
# PBE-GGA Ac7HgBi2N2, optimized geometry
# ΔE_f (raw)   -0.74 eV/atom
data_Ac7HgBi2N2
_space_group_name_H-M_alt 'C 1 2/m 1'
_space_group_IT_number 12
_cell_length_a 7.491
_cell_length_b 7.485
_cell_length_c 14.529
_cell_angle_alpha 90.00
_cell_angle_beta 104.93
_cell_angle_gamma 90.00
loop_
_space_group_symop_operation_xyz
'x,y,z'
'-x,-y,-z'
'-x,y,-z'
'x,-y,z'
'x+1/2,y+1/2,z'
'-x+1/2,-y+1/2,-z'
'-x+1/2,y+1/2,-z'
'x+1/2,-y+1/2,z'
loop_
_atom_site_label
_atom_site_fract_x
_atom_site_fract_y
_atom_site_fract_z
Ac1 0.000 0.000 0.000
Ac2 0.160 0.250 0.818
Ac3 0.191 0.000 0.384
Hg1 0.000 0.500 0.000
Bi1 0.181 0.500 0.364
N1 0.100 0.000 0.201

***

(4)
# PBE-GGA NaTlNi2, optimized geometry
# Energy of formation   0.609 eV/atom
data_NaTlNi2
_space_group_name_H-M_alt 'I -4 2 d'
_space_group_IT_number 122
_space_group_name_Hall 'I -4 2bw'
_cell_length_a 7.309
_cell_length_b 7.309
_cell_length_c 5.538
_cell_angle_alpha 90.00
_cell_angle_beta 90.00
_cell_angle_gamma 90.00
loop_
_atom_site_label
_atom_site_fract_x
_atom_site_fract_y
_atom_site_fract_z
Na1 0.000 0.000 0.000
Tl1 0.000 0.000 0.500
Ni1 0.229 0.250 0.625

***

(5)
# PBE-GGA Te2HRhN, optimized geometry
# Distance to the lowest polymorph of the same formula   0.00 eV/f.u.
data_Te2HRhN
_space_group_name_H-M_alt 'P 4/m m m'
_space_group_IT_number 123
_space_group_name_Hall '-P 4 2'
_cell_length_a 5.537
_cell_length_b 5.537
_cell_length_c 3.599
_cell_angle_alpha 90.00
_cell_angle_beta 90.00
_cell_angle_gamma 90.00
loop_
_atom_site_label
_atom_site_fract_x
_atom_site_fract_y
_atom_site_fract_z
Te1 0.000 0.500 0.000
H1 0.000 0.000 0.500
Rh1 0.500 0.500 0.000
N1 0.500 0.500 0.500

***

(6)
# PBE-GGA MgGa2Pd8, optimized geometry
# Energy of formation   -0.503 eV/atom
# Distance to the lowest polymorph of the same formula   0.00 eV/f.u.
data_MgGa2Pd8
_space_group_name_H-M_alt 'C 1 2/m 1'
_space_group_IT_number 12
_cell_length_a 13.710
_cell_length_b 4.123
_cell_length_c 6.352
_cell_angle_alpha 90.00
_cell_angle_beta 109.93
_cell_angle_gamma 90.00
loop_
_space_group_symop_operation_xyz
'x,y,z'
'-x,-y,-z'
'-x,y,-z'
'x,-y,z'
'x+1/2,y+1/2,z'
'-x+1/2,-y+1/2,-z'
'-x+1/2,y+1/2,-z'
'x+1/2,-y+1/2,z'
loop_
_atom_site_label
_atom_site_fract_x
_atom_site_fract_y
_atom_site_fract_z
Mg1 0.000 0.000 0.000
Ga1 0.217 0.500 0.660
Pd1 0.041 0.500 0.730
Pd2 0.103 0.000 0.470
Pd3 0.154 0.500 0.220
Pd4 0.178 0.000 0.931

***

(7)
# PBE-GGA Sm6MgTl, optimized geometry
# Energy of formation   -0.088 eV/atom
data_Sm6MgTl
_space_group_name_H-M_alt 'P 4/m m m'
_space_group_IT_number 123
_space_group_name_Hall '-P 4 2'
_cell_length_a 4.966
_cell_length_b 4.966
_cell_length_c 9.924
_cell_angle_alpha 90.00
_cell_angle_beta 90.00
_cell_angle_gamma 90.00
loop_
_atom_site_label
_atom_site_fract_x
_atom_site_fract_y
_atom_site_fract_z
Sm1 0.000 0.000 0.000
Sm2 0.000 0.000 0.500
Sm3 0.000 0.500 0.248
Mg1 0.500 0.500 0.500
Tl1 0.500 0.500 0.000

***

(8)
# PBE-GGA Rb4CuGe3Br12, optimized geometry
# ΔE_f (raw)   -1.00 eV/atom
data_Rb4CuGe3Br12
_space_group_name_H-M_alt 'I m -3 m'
_space_group_IT_number 229
_space_group_name_Hall '-I 4 2 3'
_cell_length_a 10.915
_cell_length_b 10.915
_cell_length_c 10.915
_cell_angle_alpha 90.00
_cell_angle_beta 90.00
_cell_angle_gamma 90.00
loop_
_atom_site_label
_atom_site_fract_x
_atom_site_fract_y
_atom_site_fract_z
Rb1 0.250 0.250 0.250
Cu1 0.000 0.000 0.000
Ge1 0.000 0.000 0.500
Br1 0.000 0.000 0.245
Br2 0.000 0.250 0.500

***

(9)
# PBE-GGA La3Dy2Tm3, optimized geometry
# Energy of formation   0.036 eV/atom
# Distance to the lowest polymorph of the same formula   0.06 eV/f.u.
data_La3Dy2Tm3
_space_group_name_H-M_alt 'I m m m'
_space_group_IT_number 71
_space_group_name_Hall '-I 2 2'
_cell_length_a 4.990
_cell_length_b 5.138
_cell_length_c 20.629
_cell_angle_alpha 90.00
_cell_angle_beta 90.00
_cell_angle_gamma 90.00
loop_
_atom_site_label
_atom_site_fract_x
_atom_site_fract_y
_atom_site_fract_z
La1 0.000 0.000 0.000
La2 0.000 0.500 0.124
Dy1 0.000 0.000 0.248
Tm1 0.000 0.000 0.500
Tm2 0.000 0.500 0.372

***

(10)
# PBE-GGA ZrHgS2, optimized geometry
# ΔE_f (raw)   -1.13 eV/atom
data_ZrHgS2
_space_group_name_H-M_alt 'P 3 m 1'
_space_group_IT_number 156
_cell_length_a 3.6707
_cell_length_b 3.6707
_cell_length_c 9.6856
_cell_angle_alpha 90.00
_cell_angle_beta 90.00
_cell_angle_gamma 120.00
loop_
_space_group_symop_operation_xyz
'x,y,z'
'-y,x-y,z'
'-x+y,-x,z'
'-y,-x,z'
'-x+y,y,z'
'x,x-y,z'
loop_
_atom_site_label
_atom_site_fract_x
_atom_site_fract_y
_atom_site_fract_z
Zr1 0.0000 0.0000 0.0000
Hg1 0.3333 0.6667 0.4813
S1 0.3333 0.6667 0.8482
S2 0.6667 0.3333 0.1519

***

Number 1: energy -5.65 eV per atom. Number 2: energy -3.94 eV per atom. Number 3: energy -5.20 eV per atom. Number 4: energy -3.20 eV per atom. Number 5: energy -4.19 eV per atom. Number 6: energy -4.98 eV per atom. Number 7: energy -4.12 eV per atom. Number 8: energy -3.09 eV per atom. Number 9: energy -4.64 eV per atom. Number 10: energy -5.40 eV per atom.